# 1
SrSbI2N meta-GGA SCAN PBEsol geometry; E above lowest polymorph = 0.441 eV/atom; energy relative to the elements, uncorrected = 0.561 eV/atom
1.0
6.291 0.000 0.000
0.000 6.291 0.000
0.000 0.000 6.625
Sr Sb I N
1 1 2 1
direct
0.000 0.000 0.000 Sr
0.000 0.000 0.500 Sb
0.000 0.500 0.000 I
0.500 0.000 0.000 I
0.500 0.500 0.500 N


# 2
SrSbI2N meta-GGA SCAN PBEsol geometry; E above lowest polymorph = 0.000 eV/atom; energy relative to the elements, uncorrected = 0.120 eV/atom
1.0
5.041 0.000 0.000
0.000 5.041 0.000
0.000 0.000 4.919
Sr Sb I N
1 1 2 1
direct
0.000 0.000 0.000 Sr
0.500 0.500 0.000 Sb
0.000 0.500 0.500 I
0.500 0.000 0.500 I
0.500 0.500 0.500 N


# 3
SrSbIN2 meta-GGA SCAN PBEsol geometry; energy relative to the elements, uncorrected = 0.543 eV/atom
1.0
4.323 0.000 0.000
0.000 4.323 0.000
0.000 0.000 5.856
Sr Sb I N
1 1 1 2
direct
0.000 0.000 0.000 Sr
0.500 0.500 0.500 Sb
0.500 0.500 0.000 I
0.000 0.500 0.500 N
0.500 0.000 0.500 N


Number 1: ρ 3022 kg/m³. Number 2: ρ 6341 kg/m³. Number 3: ρ 5528 kg/m³.